No. 1
# HfZnCd2Co

A crystal of HfZnCd2Co relaxed with PBEsol (meta-GGA SCAN, Alexandria).

Cell: 4.8467 4.8467 4.4605 Å, 90.00 90.00 90.00°
With the nearest neighbours (Å) after each atom.
Space group P4/mmm (No. 123)
Symmetry-distinct sites (fractional):
1 Hf 0.0000 0.0000 0.0000 [1 per cell]  2 Co 2.23
2 Zn 0.5000 0.5000 0.0000 [1 per cell]  8 Cd 3.29, 4 Hf 3.43
3 Cd 0.0000 0.5000 0.5000 [2 per cell]  2 Co 2.42
4 Co 0.0000 0.0000 0.5000 [1 per cell]  2 Hf 2.23, 4 Cd 2.42

Summary:
The calculation puts the formation energy at 0.4281 eV per atom. As for the total energy: -30.436 eV/atom.


No. 2
# IrWI2N

A crystal of IrWI2N relaxed with PBEsol (meta-GGA SCAN, Alexandria).

Cell: 5.4626 5.4626 3.6277 Å, 90.00 90.00 90.00°
With the nearest neighbours (Å) after each atom.
Space group P4/mmm (No. 123)
Symmetry-distinct sites (fractional):
1 Ir 0.0000 0.0000 0.0000 [1 per cell]  2 N 1.81
2 W 0.5000 0.5000 0.5000 [1 per cell]  8 I 3.28, 2 W 3.63
3 I 0.0000 0.5000 0.0000 [2 per cell]  2 Ir 2.73
4 N 0.0000 0.0000 0.5000 [1 per cell]  2 Ir 1.81

Summary:
The calculation puts the formation energy from raw total energies at 1.414 eV per atom. Its energy above the most stable polymorph in this dataset is 0.0788 eV per atom. As for the total energy: -43.298 eV/atom.


No. 3
# ZrReNi2

A crystal of ZrReNi2 relaxed with PBEsol (meta-GGA SCAN, Alexandria).

Cell: 3.8487 3.8487 7.4502 Å, 90.00 90.00 90.00°
With the nearest neighbours (Å) after each atom.
Space group I4/mmm (No. 139)
Symmetry-distinct sites (fractional):
1 Zr 0.0000 0.0000 0.0000 [2 per cell]  8 Ni 2.68, 4 Re 2.72
2 Re 0.0000 0.0000 0.5000 [2 per cell]  8 Ni 2.68, 4 Zr 2.72
3 Ni 0.0000 0.5000 0.2500 [4 per cell]  4 Zr 2.68, 4 Re 2.68, 4 Ni 2.72

Summary:
The calculation puts the formation energy at -0.0941 eV per atom. Its energy above the most stable polymorph in this dataset is 0.0000 eV per atom. As for the total energy: -33.630 eV/atom.


No. 4
# BaLa2Cu

A crystal of BaLa2Cu relaxed with PBEsol (meta-GGA SCAN, Alexandria).

Cell: 3.9234 3.9234 31.2833 Å, 90.00 90.00 120.00°
With the nearest neighbours (Å) after each atom.
Space group R-3m (No. 166, hexagonal axes)
Symmetry-distinct sites (fractional):
1 Ba 0.0000 0.0000 0.0000 [3 per cell]  6 Ba 3.92, 6 La 4.07
2 La 0.0000 0.0000 0.2253 [6 per cell]  3 Cu 2.91
3 Cu 0.0000 0.0000 0.5000 [3 per cell]  6 La 2.91

Summary:
The calculation puts the formation energy at 0.1151 eV per atom. As for the total energy: -35.125 eV/atom.


No. 5
# Rb4PbBr6

A crystal of Rb4PbBr6 relaxed with PBEsol (meta-GGA SCAN, Alexandria).

Cell: 13.1802 13.1802 16.3676 Å, 90.00 90.00 120.00°
With the nearest neighbours (Å) after each atom.
Space group R-3c (No. 167, hexagonal axes)
Symmetry-distinct sites (fractional):
1 Rb 0.0000 0.0000 0.2500 [6 per cell]  6 Br 3.39
2 Rb 0.0000 0.3818 0.2500 [18 per cell]  8 Br 3.53-3.66
3 Pb 0.0000 0.0000 0.0000 [6 per cell]  6 Br 3.00
4 Br 0.0336 0.1994 0.3937 [36 per cell]  1 Pb 3.00

Summary:
The calculation puts the formation energy from raw total energies at -1.701 eV per atom. As for the total energy: -26.746 eV/atom.


No. 6
# SrSbCl2

A crystal of SrSbCl2 relaxed with PBEsol (meta-GGA SCAN, Alexandria).

Cell: 7.6199 7.6199 7.6199 Å, 90.00 90.00 90.00°
With the nearest neighbours (Å) after each atom.
Space group F-43m (No. 216)
Symmetry-distinct sites (fractional):
1 Sr 0.0000 0.0000 0.0000 [4 per cell]  4 Sb 3.30, 4 Cl 3.30
2 Sb 0.2500 0.2500 0.7500 [4 per cell]  4 Cl 3.30, 4 Sr 3.30
3 Cl 0.0000 0.0000 0.5000 [4 per cell]  4 Cl 3.30, 4 Sb 3.30
4 Cl 0.2500 0.2500 0.2500 [4 per cell]  4 Cl 3.30, 4 Sr 3.30

Summary:
The calculation puts the formation energy from raw total energies at -0.912 eV per atom. Its energy above the most stable polymorph in this dataset is 0.5281 eV per atom. As for the total energy: -19.785 eV/atom.


No. 7
# P2WCl

A crystal of P2WCl relaxed with PBEsol (meta-GGA SCAN, Alexandria).

Cell: 2.8751 4.5926 10.1264 Å, 90.00 90.00 90.00°
With the nearest neighbours (Å) after each atom.
Space group Immm (No. 71)
Symmetry-distinct sites (fractional):
1 P 0.0000 0.0000 0.1966 [4 per cell]  2 W 2.46
2 W 0.0000 0.5000 0.5000 [2 per cell]  4 P 2.46, 4 Cl 2.71
3 Cl 0.0000 0.5000 0.0000 [2 per cell]  4 W 2.71, 2 Cl 2.88

Summary:
The calculation puts the formation energy from raw total energies at 0.642 eV per atom. As for the total energy: -23.974 eV/atom.


No. 8
# Rb3CaCl

A crystal of Rb3CaCl relaxed with PBEsol (meta-GGA SCAN, Alexandria).

Cell: 6.5145 6.5145 6.5145 Å, 90.00 90.00 90.00°
With the nearest neighbours (Å) after each atom.
Space group Pm-3m (No. 221)
Symmetry-distinct sites (fractional):
1 Rb 0.0000 0.0000 0.5000 [3 per cell]  2 Cl 3.26
2 Ca 0.5000 0.5000 0.5000 [1 per cell]  12 Rb 4.61
3 Cl 0.0000 0.0000 0.0000 [1 per cell]  6 Rb 3.26

Summary:
The calculation puts the formation energy from raw total energies at -0.661 eV per atom. As for the total energy: -16.633 eV/atom.


No. 9
# TlCoCu

A crystal of TlCoCu relaxed with PBEsol (meta-GGA SCAN, Alexandria).

Cell: 4.1365 4.1365 2.9513 Å, 90.00 90.00 120.00°
With the nearest neighbours (Å) after each atom.
Space group P3m1 (No. 156)
Symmetry-distinct sites (fractional):
1 Tl 0.0000 0.0000 0.0000 [1 per cell]  3 Cu 2.63, 6 Co 2.69-2.94
2 Co 0.6667 0.3333 0.4164 [1 per cell]  3 Cu 2.47, 3 Tl 2.69
3 Cu 0.3333 0.6667 0.6270 [1 per cell]  3 Co 2.47, 3 Tl 2.63

Summary:
The calculation puts the formation energy at 0.6520 eV per atom. As for the total energy: -34.302 eV/atom.


No. 10
# YMg2Mo

A crystal of YMg2Mo relaxed with PBEsol (meta-GGA SCAN, Alexandria).

Cell: 6.9484 6.9484 6.9484 Å, 90.00 90.00 90.00°
With the nearest neighbours (Å) after each atom.
Space group F-43m (No. 216)
Symmetry-distinct sites (fractional):
1 Y 0.0000 0.0000 0.0000 [4 per cell]  4 Mo 3.01, 4 Mg 3.01
2 Mg 0.0000 0.0000 0.5000 [4 per cell]  4 Mo 3.01, 4 Mg 3.01
3 Mg 0.2500 0.2500 0.2500 [4 per cell]  4 Mg 3.01, 4 Y 3.01
4 Mo 0.2500 0.2500 0.7500 [4 per cell]  4 Mg 3.01, 4 Y 3.01

Summary:
The calculation puts the formation energy at 0.4345 eV per atom. Its energy above the most stable polymorph in this dataset is 0.0000 eV per atom. As for the total energy: -17.734 eV/atom.


No. 11
# Hf2In2Se

A crystal of Hf2In2Se relaxed with PBEsol (meta-GGA SCAN, Alexandria).

Cell: 3.8655 3.8655 15.9349 Å, 90.00 90.00 90.00°
With the nearest neighbours (Å) after each atom.
Space group I4/mmm (No. 139)
Symmetry-distinct sites (fractional):
1 Hf 0.0000 0.5000 0.2500 [4 per cell]  4 Hf 2.73
2 In 0.0000 0.0000 0.0930 [4 per cell]  1 In 2.96, 4 Se 3.11, 4 Hf 3.16
3 Se 0.0000 0.0000 0.5000 [2 per cell]  8 In 3.11

Summary:
The calculation puts the formation energy from raw total energies at 0.386 eV per atom. As for the total energy: -42.054 eV/atom.


No. 12
# CdSiW2

A crystal of CdSiW2 relaxed with PBEsol (meta-GGA SCAN, Alexandria).

Cell: 3.2263 4.3676 4.4876 Å, 90.00 90.00 90.00°
With the nearest neighbours (Å) after each atom.
Space group Pmmm (No. 47)
Symmetry-distinct sites (fractional):
1 Cd 0.0000 0.0000 0.0000 [1 per cell]  4 W 2.71, 4 Si 2.76
2 Si 0.5000 0.0000 0.5000 [1 per cell]  4 W 2.71, 4 Cd 2.76
3 W 0.0000 0.5000 0.5000 [1 per cell]  4 Si 2.71, 4 W 2.76
4 W 0.5000 0.5000 0.0000 [1 per cell]  4 Cd 2.71, 4 W 2.76

Summary:
The calculation puts the formation energy from raw total energies at 0.673 eV per atom. Its energy above the most stable polymorph in this dataset is 0.2346 eV per atom. As for the total energy: -44.279 eV/atom.


No. 13
# K3BaAs

A crystal of K3BaAs relaxed with PBEsol (meta-GGA SCAN, Alexandria).

Cell: 6.4547 6.4547 6.4547 Å, 90.00 90.00 90.00°
With the nearest neighbours (Å) after each atom.
Space group Pm-3m (No. 221)
Symmetry-distinct sites (fractional):
1 K 0.0000 0.0000 0.5000 [3 per cell]  2 As 3.23
2 Ba 0.5000 0.5000 0.5000 [1 per cell]  12 K 4.56
3 As 0.0000 0.0000 0.0000 [1 per cell]  6 K 3.23

Summary:
The calculation puts the formation energy at -0.0429 eV per atom. As for the total energy: -16.988 eV/atom.


No. 14
# Sr2CdP

A crystal of Sr2CdP relaxed with PBEsol (meta-GGA SCAN, Alexandria).

Cell: 4.5169 4.5169 6.2610 Å, 90.00 90.00 90.00°
With the nearest neighbours (Å) after each atom.
Space group P4mm (No. 99)
Symmetry-distinct sites (fractional):
1 Sr 0.0000 0.0000 0.0000 [1 per cell]  2 Cd 3.13-3.14, 4 P 3.19
2 Sr 0.5000 0.5000 0.4981 [1 per cell]  2 P 3.13, 4 Cd 3.19
3 Cd 0.0000 0.0000 0.5008 [1 per cell]  6 Sr 3.13-3.19
4 P 0.5000 0.5000 0.9979 [1 per cell]  6 Sr 3.13-3.19

Summary:
The calculation puts the formation energy at -0.5150 eV per atom. As for the total energy: -21.856 eV/atom.


No. 15
# GeMoS2N

A crystal of GeMoS2N relaxed with PBEsol (meta-GGA SCAN, Alexandria).

Cell: 4.7491 4.7491 3.4908 Å, 90.00 90.00 90.00°
With the nearest neighbours (Å) after each atom.
Space group P4/mmm (No. 123)
Symmetry-distinct sites (fractional):
1 Ge 0.0000 0.0000 0.0000 [1 per cell]  2 N 1.75
2 Mo 0.5000 0.5000 0.5000 [1 per cell]  8 S 2.95
3 S 0.0000 0.5000 0.0000 [2 per cell]  2 Ge 2.37
4 N 0.0000 0.0000 0.5000 [1 per cell]  2 Ge 1.75

Summary:
The calculation puts the formation energy from raw total energies at 0.873 eV per atom. As for the total energy: -15.631 eV/atom.


No. 16
# MgCoPb2

A crystal of MgCoPb2 relaxed with PBEsol (meta-GGA SCAN, Alexandria).

Cell: 3.7217 4.7274 4.7512 Å, 90.00 90.00 90.00°
With the nearest neighbours (Å) after each atom.
Space group Pmmm (No. 47)
Symmetry-distinct sites (fractional):
1 Mg 0.0000 0.0000 0.0000 [1 per cell]  8 Pb 3.01-3.02, 4 Co 3.35
2 Co 0.0000 0.5000 0.5000 [1 per cell]  8 Pb 3.01-3.02, 4 Mg 3.35
3 Pb 0.5000 0.0000 0.5000 [1 per cell]  4 Co 3.01, 4 Mg 3.02, 4 Pb 3.35
4 Pb 0.5000 0.5000 0.0000 [1 per cell]  4 Mg 3.01, 4 Co 3.02, 4 Pb 3.35

Summary:
The calculation puts the formation energy at 0.3355 eV per atom. As for the total energy: -43.125 eV/atom.


No. 17
# Ba2HgAu

A crystal of Ba2HgAu relaxed with PBEsol (meta-GGA SCAN, Alexandria).

Cell: 4.2266 4.4614 15.7140 Å, 90.00 90.00 90.00°
With the nearest neighbours (Å) after each atom.
Space group Imm2 (No. 44)
Symmetry-distinct sites (fractional):
1 Ba 0.0000 0.0000 0.0000 [2 per cell]  4 Au 3.29, 2 Hg 3.45
2 Ba 0.0000 0.5000 0.2353 [2 per cell]  2 Au 3.29, 4 Hg 3.43
3 Hg 0.0000 0.5000 0.8325 [2 per cell]  6 Ba 3.43-3.45
4 Au 0.0000 0.0000 0.5749 [2 per cell]  6 Ba 3.29

Summary:
The calculation puts the formation energy at -0.6511 eV per atom. As for the total energy: -54.757 eV/atom.


No. 18
# Ba3NaSn

A crystal of Ba3NaSn relaxed with PBEsol (meta-GGA SCAN, Alexandria).

Cell: 6.1999 6.1999 6.1999 Å, 90.00 90.00 90.00°
With the nearest neighbours (Å) after each atom.
Space group Pm-3m (No. 221)
Symmetry-distinct sites (fractional):
1 Ba 0.0000 0.0000 0.5000 [3 per cell]  2 Na 3.10
2 Na 0.0000 0.0000 0.0000 [1 per cell]  6 Ba 3.10
3 Sn 0.5000 0.5000 0.5000 [1 per cell]  12 Ba 4.38

Summary:
The calculation puts the formation energy at 0.2960 eV per atom. As for the total energy: -31.461 eV/atom.


No. 19
# CaLa2Ag2

A crystal of CaLa2Ag2 relaxed with PBEsol (meta-GGA SCAN, Alexandria).

Cell: 4.5002 4.5002 14.3062 Å, 90.00 90.00 90.00°
With the nearest neighbours (Å) after each atom.
Space group I4/mmm (No. 139)
Symmetry-distinct sites (fractional):
1 Ca 0.0000 0.0000 0.0000 [2 per cell]  8 Ag 3.45
2 La 0.0000 0.5000 0.2500 [4 per cell]  4 Ag 3.18, 4 La 3.18
3 Ag 0.0000 0.0000 0.4072 [4 per cell]  1 Ag 2.66

Summary:
The calculation puts the formation energy at -0.0688 eV per atom. Its energy above the most stable polymorph in this dataset is 0.1996 eV per atom. As for the total energy: -31.790 eV/atom.


No. 20
# Sc3Ag

A crystal of Sc3Ag relaxed with PBEsol (meta-GGA SCAN, Alexandria).

Cell: 4.5813 4.5813 3.9872 Å, 90.00 90.00 90.00°
With the nearest neighbours (Å) after each atom.
Space group P4/mmm (No. 123)
Symmetry-distinct sites (fractional):
1 Sc 0.0000 0.0000 0.0000 [1 per cell]  8 Sc 3.04, 4 Ag 3.24
2 Sc 0.0000 0.5000 0.5000 [2 per cell]  8 Sc 3.04-3.24, 4 Ag 3.04
3 Ag 0.5000 0.5000 0.0000 [1 per cell]  12 Sc 3.04-3.24

Summary:
The calculation puts the formation energy at -0.0862 eV per atom. Its energy above the most stable polymorph in this dataset is 0.1191 eV per atom. As for the total energy: -18.606 eV/atom.